# 1
{
  "formula": "NaY3Er2Se6",
  "functional": "PBE",
  "state": "relaxed",
  "cell": [[4.067, 0.000, 0.000], [0.000, 8.195, 0.291], [-2.033, -2.365, 8.585]],
  "species": ["Y", "Y", "Y", "Se", "Se", "Se", "Se", "Se", "Se", "Er", "Er", "Na"],
  "frac_coords": [[0.163, 0.824, 0.326], [0.500, 0.500, 0.000], [0.837, 0.176, 0.674], [0.669, 0.086, 0.337], [0.667, 0.581, 0.334], [0.333, 0.419, 0.666], [0.997, 0.748, 0.994], [0.331, 0.914, 0.663], [0.003, 0.252, 0.006], [0.168, 0.341, 0.335], [0.832, 0.659, 0.665], [0.500, 0.000, 0.000]],
  "dos_at_fermi_per_ev_atom": 0.343,
  "total_energy_ev_per_atom": -5.960,
  "crystal_system": "monoclinic"
}

=====

# 2
{
  "formula": "NaYEr4Se8",
  "functional": "PBE",
  "state": "relaxed",
  "cell": [[8.394, 0.000, 0.000], [4.197, 7.269, 0.000], [4.197, 2.423, 6.889]],
  "species": ["Se", "Se", "Se", "Se", "Se", "Se", "Se", "Se", "Y", "Er", "Er", "Er", "Er", "Na"],
  "frac_coords": [[0.758, 0.758, 0.725], [0.757, 0.226, 0.260], [0.226, 0.757, 0.260], [0.242, 0.779, 0.737], [0.240, 0.240, 0.281], [0.757, 0.757, 0.260], [0.242, 0.242, 0.737], [0.779, 0.242, 0.737], [0.005, 0.005, 0.985], [0.005, 0.485, 0.505], [0.485, 0.005, 0.505], [0.005, 0.005, 0.505], [0.625, 0.625, 0.124], [0.374, 0.374, 0.878]],
  "dos_at_fermi_per_ev_atom": 0.000,
  "total_energy_ev_per_atom": -5.616,
  "crystal_system": "trigonal"
}

=====

# 3
{
  "formula": "Na2YErSe4",
  "functional": "PBE",
  "state": "relaxed",
  "cell": [[4.130, 0.000, 0.000], [0.000, 7.152, 0.109], [0.000, -2.490, 6.974]],
  "species": ["Na", "Na", "Y", "Se", "Se", "Se", "Se", "Er"],
  "frac_coords": [[0.500, 0.000, 0.500], [0.000, 0.500, 0.500], [0.000, 0.000, 0.000], [0.500, 0.755, 0.771], [0.000, 0.259, 0.772], [0.500, 0.245, 0.229], [0.000, 0.741, 0.228], [0.500, 0.500, 0.000]],
  "dos_at_fermi_per_ev_atom": 0.000,
  "total_energy_ev_per_atom": -5.160,
  "crystal_system": "monoclinic"
}

=====

# 4
{
  "formula": "NaErZnSe3",
  "functional": "PBE",
  "state": "relaxed",
  "cell": [[-3.312, 2.155, 0.994], [0.494, -2.854, 7.837], [5.386, 8.399, -0.256]],
  "species": ["Se", "Se", "Se", "Se", "Se", "Se", "Na", "Na", "Er", "Er", "Zn", "Zn"],
  "frac_coords": [[0.750, 0.225, 0.543], [0.250, 0.562, 0.851], [0.750, 0.915, 0.150], [0.750, 0.438, 0.149], [0.250, 0.775, 0.457], [0.250, 0.085, 0.850], [0.750, 0.808, 0.816], [0.250, 0.192, 0.184], [0.750, 0.328, 0.853], [0.250, 0.672, 0.147], [0.750, 0.919, 0.398], [0.250, 0.081, 0.602]],
  "dos_at_fermi_per_ev_atom": 0.000,
  "total_energy_ev_per_atom": -4.245,
  "crystal_system": "monoclinic"
}

=====

# 5
{
  "formula": "Na3ErZr2Se6",
  "functional": "PBE",
  "state": "relaxed",
  "cell": [[6.803, -0.001, -0.001], [-3.401, 5.892, -0.001], [-1.135, -1.965, 7.139]],
  "species": ["Zr", "Zr", "Se", "Se", "Se", "Se", "Se", "Se", "Er", "Na", "Na", "Na"],
  "frac_coords": [[0.333, 0.667, 0.000], [0.667, 0.333, 0.000], [0.418, 0.076, 0.228], [0.076, 0.418, 0.228], [0.924, 0.582, 0.772], [0.266, 0.266, 0.773], [0.734, 0.734, 0.227], [0.582, 0.924, 0.772], [0.000, 0.000, 0.000], [0.836, 0.164, 0.500], [0.500, 0.500, 0.500], [0.164, 0.836, 0.500]],
  "dos_at_fermi_per_ev_atom": 0.442,
  "total_energy_ev_per_atom": -5.292,
  "crystal_system": "monoclinic"
}

=====

# 6
{
  "formula": "Na3Er2ZrSe6",
  "functional": "PBE",
  "state": "relaxed",
  "cell": [[-3.838, -0.410, -5.799], [6.945, -0.372, -0.387], [-1.374, -6.749, 2.784]],
  "species": ["Na", "Na", "Na", "Zr", "Se", "Se", "Se", "Se", "Se", "Se", "Er", "Er"],
  "frac_coords": [[0.500, 0.500, 0.500], [0.169, 0.831, 0.500], [0.831, 0.169, 0.500], [0.000, 0.000, 0.000], [0.752, 0.752, 0.228], [0.924, 0.600, 0.772], [0.400, 0.076, 0.228], [0.076, 0.400, 0.228], [0.600, 0.924, 0.772], [0.248, 0.248, 0.772], [0.334, 0.666, 0.000], [0.666, 0.334, 0.000]],
  "dos_at_fermi_per_ev_atom": 0.358,
  "total_energy_ev_per_atom": -5.088,
  "crystal_system": "monoclinic"
}

=====

# 7
{
  "formula": "Na2Er2ZrSe6",
  "functional": "PBE",
  "state": "relaxed",
  "cell": [[-2.899, -3.498, 5.260], [5.952, -2.281, -2.772], [2.645, 5.867, 3.804]],
  "species": ["Zr", "Se", "Se", "Se", "Se", "Se", "Se", "Na", "Na", "Er", "Er"],
  "frac_coords": [[0.000, 0.000, 0.500], [0.604, 0.925, 0.277], [0.245, 0.245, 0.279], [0.925, 0.604, 0.277], [0.755, 0.755, 0.721], [0.396, 0.075, 0.723], [0.075, 0.396, 0.723], [0.169, 0.831, 0.000], [0.831, 0.169, 0.000], [0.667, 0.333, 0.500], [0.333, 0.667, 0.500]],
  "total_energy_ev_per_atom": -5.337,
  "crystal_system": "monoclinic"
}

=====

# 8
{
  "formula": "NaErSi4",
  "functional": "PBE",
  "state": "relaxed",
  "cell": [[5.277, 0.000, 0.000], [2.639, 4.570, 0.000], [2.639, 1.523, 4.309]],
  "species": ["Na", "Si", "Si", "Si", "Si", "Er"],
  "frac_coords": [[0.000, 0.000, 0.000], [0.626, 0.121, 0.626], [0.626, 0.626, 0.626], [0.626, 0.626, 0.121], [0.121, 0.626, 0.626], [0.250, 0.250, 0.250]],
  "dos_at_fermi_per_ev_atom": 0.176,
  "total_energy_ev_per_atom": -4.772,
  "crystal_system": "cubic"
}

=====

# 9
{
  "formula": "NaSmEr",
  "functional": "PBE",
  "state": "relaxed",
  "cell": [[3.550, 0.000, 0.000], [-1.775, 3.074, 0.000], [0.000, 0.000, 9.173]],
  "species": ["Er", "Na", "Sm"],
  "frac_coords": [[0.667, 0.333, 0.348], [0.000, 0.000, 0.002], [0.333, 0.667, 0.649]],
  "dos_at_fermi_per_ev_atom": 1.445,
  "formation_energy_mev_per_atom": 134.4,
  "crystal_system": "trigonal"
}

=====

# 10
{
  "formula": "NaSmEr",
  "functional": "PBE",
  "state": "relaxed",
  "cell": [[-3.704, 0.363, 4.227], [1.114, -4.996, -2.347], [5.245, -1.031, 4.684]],
  "species": ["Sm", "Sm", "Er", "Er", "Na", "Na"],
  "frac_coords": [[0.000, 0.000, 0.232], [0.000, 0.000, 0.768], [0.333, 0.667, 0.000], [0.667, 0.333, 0.000], [0.667, 0.333, 0.499], [0.333, 0.667, 0.501]],
  "dos_at_fermi_per_ev_atom": 1.044,
  "formation_energy_mev_per_atom": 183.8,
  "crystal_system": "trigonal"
}

=====

# 11
{
  "formula": "NaSmEr2",
  "functional": "PBE",
  "state": "relaxed",
  "cell": [[3.501, 0.000, 0.000], [1.751, 3.032, 0.000], [1.751, 1.011, 12.664]],
  "species": ["Er", "Er", "Na", "Sm"],
  "frac_coords": [[0.092, 0.092, 0.725], [0.908, 0.908, 0.275], [0.000, 0.000, 0.000], [0.500, 0.500, 0.500]],
  "dos_at_fermi_per_ev_atom": 1.489,
  "formation_energy_mev_per_atom": 186.6,
  "crystal_system": "trigonal"
}

=====

# 12
{
  "formula": "NaSmEr",
  "functional": "PBE",
  "state": "relaxed",
  "cell": [[4.132, 0.000, 0.000], [0.000, 4.132, 0.000], [0.000, 0.000, 11.852]],
  "species": ["Sm", "Sm", "Na", "Na", "Er", "Er"],
  "frac_coords": [[0.500, 0.000, 0.737], [0.000, 0.500, 0.263], [0.000, 0.000, 0.000], [0.500, 0.500, 0.000], [0.500, 0.000, 0.429], [0.000, 0.500, 0.571]],
  "dos_at_fermi_per_ev_atom": 1.320,
  "formation_energy_mev_per_atom": 268.1,
  "crystal_system": "tetragonal"
}